# 1
## NdY2Ho2Tm (PBE)

Data for crystalline NdY2Ho2Tm at its relaxed geometry.

a = 6.6704 Å, b = 17.5430 Å, c = 3.3811 Å
α = 90.00°, β = 90.00°, γ = 90.00°
Atoms (fractional coordinates):
Nd  0.0000  0.0000  0.0000
Nd  0.5000  0.5000  0.5000
Y  0.2384  0.1524  0.5000
Y  0.2616  0.6524  0.0000
Y  0.7384  0.3476  0.0000
Y  0.7616  0.8476  0.5000
Ho  0.2405  0.3235  0.0000
Ho  0.2595  0.8235  0.5000
Ho  0.7405  0.1765  0.5000
Ho  0.7595  0.6765  0.0000
Tm  0.0000  0.5000  0.0000
Tm  0.5000  0.0000  0.5000

Total magnetic moment   0.0 μB per formula unit
DOS(E_F)   9.5 states/eV/f.u.
Calculated volume   395.7 Å³/cell
Symmetry   No. 58


# 2
## Sn6Pb (PBE)

Data for crystalline Sn6Pb at its relaxed geometry.

a = 7.0134 Å, b = 7.0134 Å, c = 7.0134 Å
α = 109.47°, β = 109.47°, γ = 109.47°
Atoms (fractional coordinates):
Sn  0.2500  0.5000  0.7500
Sn  0.2500  0.7500  0.5000
Sn  0.5000  0.2500  0.7500
Sn  0.5000  0.7500  0.2500
Sn  0.7500  0.2500  0.5000
Sn  0.7500  0.5000  0.2500
Pb  0.0000  0.0000  0.0000

Total magnetic moment   0.8 μB per formula unit
DOS(E_F)   6.1 states/eV/f.u.
Calculated volume   265.6 Å³/cell
Symmetry   No. 229


# 3
## RbCo2Sn (PBE)

Data for crystalline RbCo2Sn at its relaxed geometry.

a = 9.5366 Å, b = 9.5366 Å, c = 9.5366 Å
α = 149.81°, β = 149.81°, γ = 43.22°
Atoms (fractional coordinates):
Rb  0.3750  0.6250  0.7500
Rb  0.6250  0.3750  0.2500
Co  0.0000  0.0000  0.0000
Co  0.0000  0.0000  0.5000
Co  0.0000  0.5000  0.0000
Co  0.5000  0.0000  0.5000
Sn  0.1250  0.8750  0.2500
Sn  0.8750  0.1250  0.7500

Total magnetic moment   2.7 μB per formula unit
DOS(E_F)   4.9 states/eV/f.u.
Calculated volume   218.7 Å³/cell
Symmetry   No. 141


# 4
## SmB4Pd12 (PBE)

Data for crystalline SmB4Pd12 at its relaxed geometry.

a = 6.8750 Å, b = 6.8750 Å, c = 6.8750 Å
α = 109.47°, β = 109.47°, γ = 109.47°
Atoms (fractional coordinates):
Sm  0.0000  0.0000  0.0000
B  0.0000  0.0000  0.5000
B  0.0000  0.5000  0.0000
B  0.5000  0.0000  0.0000
B  0.5000  0.5000  0.5000
Pd  0.1401  0.3223  0.8179
Pd  0.1821  0.5044  0.3223
Pd  0.1821  0.8599  0.6777
Pd  0.3223  0.1821  0.5044
Pd  0.3223  0.8179  0.1401
Pd  0.4956  0.6777  0.8179
Pd  0.5044  0.3223  0.1821
Pd  0.6777  0.1821  0.8599
Pd  0.6777  0.8179  0.4956
Pd  0.8179  0.1401  0.3223
Pd  0.8179  0.4956  0.6777
Pd  0.8599  0.6777  0.1821

Total magnetic moment   0.0 μB per formula unit
DOS(E_F)   3.4 states/eV/f.u.
Calculated volume   250.1 Å³/cell
Symmetry   No. 204


no.,calculated total energy (eV/atom),energy of formation from the pure elements (eV/atom)
1,-4.928,0.29
2,-3.620,0.34
3,-4.098,0.70
4,-5.857,-0.34